[1]
Here is crystalline TaZnHRu2 at its relaxed geometry from Alexandria. Energies are from PBE.

Cell lengths 4.033, 4.033, 3.811 Å; angles 90.00, 90.00, 90.00 degrees
Atoms (fractional coordinates):
Ta 0.000 0.000 0.000
Zn 0.500 0.500 0.000
H 0.000 0.000 0.500
Ru 0.000 0.500 0.500
Ru 0.500 0.000 0.500

Calculated values
Magnetic moment   0.0000 μB/atom
VASP energy   -35.43 eV for the cell shown
Symmetry   No. 123
N(E_F)   0.4090 states/eV per atom
Energy above the most stable polymorph in this dataset   34 meV/atom

[2]
Here is crystalline Tb3AgPd5 at its relaxed geometry from Alexandria. Energies are from PBE.

Cell lengths 8.485, 8.485, 5.737 Å; angles 90.00, 90.00, 120.00 degrees
Atoms (fractional coordinates):
Tb 0.000 0.356 0.250
Tb 0.000 0.644 0.750
Tb 0.356 0.000 0.250
Tb 0.356 0.356 0.750
Tb 0.644 0.000 0.750
Tb 0.644 0.644 0.250
Ag 0.000 0.000 0.000
Ag 0.000 0.000 0.500
Pd 0.000 0.312 0.750
Pd 0.000 0.688 0.250
Pd 0.312 0.000 0.750
Pd 0.312 0.312 0.250
Pd 0.333 0.667 0.000
Pd 0.333 0.667 0.500
Pd 0.667 0.333 0.000
Pd 0.667 0.333 0.500
Pd 0.688 0.000 0.250
Pd 0.688 0.688 0.750

Calculated values
Magnetic moment   0.0000 μB/atom
VASP energy   -99.25 eV for the cell shown
Symmetry   No. 193
N(E_F)   0.5660 states/eV per atom
Energy above the most stable polymorph in this dataset   0 meV/atom